Record 1
First-principles (PBE-GGA) data for a relaxed structure of Y2CuBRh, as listed in Alexandria.

Calculated values
formation energy from the elements	686	meV per atom
M_tot	0.77	μB per formula unit
volume	123.69	Å³/f.u.
calculated total energy	-27.62	eV per cell
space group	P4/mmm (123)

Cell lengths 5.1845, 4.6018, 5.1845 Å; angles 90.00, 90.00, 90.00 degrees
With the nearest neighbours (Å) after each atom.
Element x y z (fractional)
B  0.5000  0.5000  0.5000  8 Y 3.47, 4 Cu 3.67
Y  0.0000  0.0000  0.5000  2 Rh 2.59
Cu  0.0000  0.5000  0.0000  2 Rh 2.30
Y  0.5000  0.0000  0.0000  2 Rh 2.59
Rh  0.0000  0.0000  0.0000  2 Cu 2.30


Record 2
First-principles (PBE-GGA) data for a relaxed structure of YCuBRh2, as listed in Alexandria.

Calculated values
formation energy from the elements	-575	meV per atom
M_tot	0.00	μB per formula unit
volume	73.83	Å³/f.u.
calculated total energy	-34.82	eV per cell
space group	P4/mmm (123)

Cell lengths 4.2293, 4.2293, 4.1275 Å; angles 90.00, 90.00, 90.00 degrees
With the nearest neighbours (Å) after each atom.
Element x y z (fractional)
Y  0.5000  0.5000  0.5000  8 Rh 2.95, 4 Cu 2.99
Cu  0.0000  0.0000  0.5000  2 B 2.06
Rh  0.5000  0.0000  0.0000  2 B 2.11
B  0.0000  0.0000  0.0000  2 Cu 2.06, 4 Rh 2.11
Rh  0.0000  0.5000  0.0000  2 B 2.11


Record 3
First-principles (PBE-GGA) data for a relaxed structure of Y2Cu2BRh4, as listed in Alexandria.

Calculated values
formation energy from the elements	-643	meV per atom
M_tot	0.00	μB per formula unit
volume	137.33	Å³/f.u.
calculated total energy	-62.99	eV per cell
space group	I4/mmm (139)

Cell lengths 5.7387, 5.7387, 5.7387 Å; angles 93.44, 118.04, 118.04 degrees
With the nearest neighbours (Å) after each atom.
Element x y z (fractional)
Rh  0.4961  0.7480  0.7480  1 B 2.11
Y  0.5000  0.2500  0.7500  8 Rh 2.87, 4 Cu 2.96
Rh  0.5039  0.2520  0.2520  1 B 2.11
Cu  0.0000  0.2697  0.2697  1 B 2.12
Y  0.5000  0.7500  0.2500  8 Rh 2.87, 4 Cu 2.96
Rh  0.0000  0.7480  0.2520  1 B 2.11
Cu  0.0000  0.7303  0.7303  1 B 2.12
B  0.0000  0.0000  0.0000  4 Rh 2.11, 2 Cu 2.12
Rh  0.0000  0.2520  0.7480  1 B 2.11


Record 4
First-principles (PBE-GGA) data for a relaxed structure of ZnCu2BRh, as listed in Alexandria.

Calculated values
formation energy from the elements	866	meV per atom
M_tot	0.00	μB per formula unit
volume	87.07	Å³/f.u.
calculated total energy	-19.16	eV per cell
space group	P4/mmm (123)

Cell lengths 4.7505, 3.8580, 4.7505 Å; angles 90.00, 90.00, 90.00 degrees
With the nearest neighbours (Å) after each atom.
Element x y z (fractional)
Cu  0.5000  0.0000  0.0000  2 Rh 2.38
Cu  0.0000  0.0000  0.5000  2 Rh 2.38
Zn  0.5000  0.5000  0.5000  8 Cu 3.06, 4 B 3.36
Rh  0.0000  0.0000  0.0000  2 B 1.93
B  0.0000  0.5000  0.0000  2 Rh 1.93


Record 5
First-principles (PBE-GGA) data for a relaxed structure of ZnCu2B2Rh5, as listed in Alexandria.

Calculated values
formation energy from the elements	-213	meV per atom
M_tot	0.00	μB per formula unit
volume	124.84	Å³/f.u.
calculated total energy	-123.41	eV per cell
space group	P4/mbm (127)

Cell lengths 2.8760, 9.3174, 9.3174 Å; angles 90.00, 90.00, 90.00 degrees
With the nearest neighbours (Å) after each atom.
Element x y z (fractional)
Cu  0.0000  0.8224  0.6776  1 B 2.55, 6 Rh 2.75-2.78
B  0.0000  0.3708  0.1292  6 Rh 2.11-2.23
Rh  0.5000  0.2154  0.0702  2 B 2.11
Rh  0.5000  0.2846  0.5702  2 B 2.11
Rh  0.5000  0.4298  0.2846  2 B 2.11
Cu  0.0000  0.6776  0.1776  1 B 2.55, 6 Rh 2.75-2.78
Cu  0.0000  0.1776  0.3224  1 B 2.55, 6 Rh 2.75-2.78
Rh  0.5000  0.0702  0.7846  2 B 2.11
Rh  0.5000  0.9298  0.2154  2 B 2.11
Rh  0.5000  0.5702  0.7154  2 B 2.11
Rh  0.5000  0.7154  0.4298  2 B 2.11
Cu  0.0000  0.3224  0.8224  1 B 2.55, 6 Rh 2.75-2.78
Rh  0.5000  0.5000  0.0000  4 B 2.23
B  0.0000  0.6292  0.8708  6 Rh 2.11-2.23
Zn  0.0000  0.0000  0.0000  8 Rh 2.55
B  0.0000  0.1292  0.6292  6 Rh 2.11-2.23
Rh  0.5000  0.7846  0.9298  2 B 2.11
B  0.0000  0.8708  0.3708  6 Rh 2.11-2.23
Rh  0.5000  0.0000  0.5000  4 B 2.23
Zn  0.0000  0.5000  0.5000  8 Rh 2.55


Record 6
First-principles (PBE-GGA) data for a relaxed structure of Zn2CuB2Rh5, as listed in Alexandria.

Calculated values
formation energy from the elements	-315	meV per atom
M_tot	0.00	μB per formula unit
volume	125.81	Å³/f.u.
calculated total energy	-119.80	eV per cell
space group	P4/mbm (127)

Cell lengths 2.8671, 9.3682, 9.3682 Å; angles 90.00, 90.00, 90.00 degrees
With the nearest neighbours (Å) after each atom.
Element x y z (fractional)
Cu  0.0000  0.0000  0.0000  8 Rh 2.56, 2 Cu 2.87
Rh  0.5000  0.0000  0.5000  4 B 2.23
Cu  0.0000  0.5000  0.5000  8 Rh 2.56, 2 Cu 2.87
Rh  0.5000  0.7850  0.9283  2 B 2.12
B  0.0000  0.6285  0.8715  6 Rh 2.12-2.23
Zn  0.0000  0.6773  0.1773  1 B 2.57, 6 Rh 2.75-2.78, 2 Zn 2.87
Rh  0.5000  0.4283  0.2850  2 B 2.12
Rh  0.5000  0.9283  0.2150  2 B 2.12
Rh  0.5000  0.5000  0.0000  4 B 2.23
Rh  0.5000  0.7150  0.4283  2 B 2.12
Rh  0.5000  0.0717  0.7850  2 B 2.12
Zn  0.0000  0.3227  0.8227  1 B 2.57, 6 Rh 2.75-2.78, 2 Zn 2.87
Zn  0.0000  0.1773  0.3227  1 B 2.57, 6 Rh 2.75-2.78, 2 Zn 2.87
Rh  0.5000  0.5717  0.7150  2 B 2.12
B  0.0000  0.8715  0.3715  6 Rh 2.12-2.23
Zn  0.0000  0.8227  0.6773  1 B 2.57, 6 Rh 2.75-2.78, 2 Zn 2.87
B  0.0000  0.1285  0.6285  6 Rh 2.12-2.23
Rh  0.5000  0.2850  0.5717  2 B 2.12
B  0.0000  0.3715  0.1285  6 Rh 2.12-2.23
Rh  0.5000  0.2150  0.0717  2 B 2.12


Record 7
First-principles (PBE-GGA) data for a relaxed structure of Cu3BRu, as listed in Alexandria.

Calculated values
formation energy from the elements	75	meV per atom
M_tot	0.00	μB per formula unit
volume	58.13	Å³/f.u.
calculated total energy	-55.73	eV per cell
space group	P-1 (2)
ΔE to the lowest computed polymorph	0.63	eV/f.u.

Cell lengths 2.7754, 5.1828, 8.4673 Å; angles 97.41, 89.94, 105.61 degrees
With the nearest neighbours (Å) after each atom.
Element x y z (fractional)
Cu  0.9960  0.9927  0.1923  2 B 2.16
Cu  0.6425  0.2839  0.0259  12 Cu 2.53-2.81
B  0.5247  0.0480  0.6175  1 B 1.98, 3 Cu 2.16-2.18, 4 Ru 2.16-2.20
Cu  0.7232  0.4482  0.7562  1 B 2.18
B  0.4753  0.9520  0.3825  1 B 1.98, 3 Cu 2.16-2.18, 4 Ru 2.16-2.20
Cu  0.3575  0.7161  0.9741  12 Cu 2.53-2.81
Cu  0.0040  0.0073  0.8077  2 B 2.16
Ru  0.8644  0.7328  0.5127  4 B 2.16-2.20
Ru  0.1356  0.2672  0.4873  4 B 2.16-2.20
Cu  0.2768  0.5518  0.2438  1 B 2.18


Record 8
First-principles (PBE-GGA) data for a relaxed structure of Cu3BRu, as listed in Alexandria.

Calculated values
formation energy from the elements	95	meV per atom
M_tot	0.00	μB per formula unit
volume	57.51	Å³/f.u.
calculated total energy	-55.54	eV per cell
space group	P1 (1)
ΔE to the lowest computed polymorph	0.73	eV/f.u.

Cell lengths 4.1005, 5.0192, 5.6624 Å; angles 89.22, 89.91, 80.74 degrees
With the nearest neighbours (Å) after each atom.
Element x y z (fractional)
Cu  0.4980  0.6776  0.1490  1 B 2.10
Cu  0.9937  0.1601  0.8046  1 B 2.08
Cu  0.9898  0.9921  0.2420  2 B 2.12-2.31
B  0.0713  0.8253  0.5876  3 Ru 2.07-2.25, 4 Cu 2.07-2.32
Cu  0.9818  0.6540  0.9115  1 B 2.07
Ru  0.0322  0.4812  0.3989  3 B 2.07-2.25
Cu  0.5006  0.4919  0.7062  2 B 2.11-2.32
Cu  0.4654  0.1776  0.0450  1 B 2.05
B  0.5760  0.3302  0.3644  3 Cu 2.05-2.11, 3 Ru 2.08-2.25
Ru  0.5277  0.9832  0.5558  3 B 2.08-2.25


Record 9
First-principles (PBE-GGA) data for a relaxed structure of Cu3BRu, as listed in Alexandria.

Calculated values
formation energy from the elements	68	meV per atom
M_tot	0.00	μB per formula unit
volume	58.14	Å³/f.u.
calculated total energy	-111.61	eV per cell
space group	Cm (8)
ΔE to the lowest computed polymorph	0.59	eV/f.u.

Cell lengths 8.2846, 2.8561, 10.0852 Å; angles 90.00, 102.96, 90.00 degrees
With the nearest neighbours (Å) after each atom.
Element x y z (fractional)
B  0.4906  0.5000  0.9254  3 Ru 2.07-2.12, 1 B 2.09, 2 Cu 2.24
Cu  0.7060  0.5000  0.5322  4 B 2.29-2.35, 2 Cu 2.48
Cu  0.9161  0.5000  0.9601  5 Cu 2.37-2.48, 1 Ru 2.52
Cu  0.1115  0.5000  0.6181  7 Cu 2.46-2.67, 1 Ru 2.59
Cu  0.1568  0.5000  0.8699  6 Cu 2.37-2.65
B  0.4906  0.0000  0.4254  3 Ru 2.07-2.12, 1 B 2.09, 2 Cu 2.24
Ru  0.3872  0.0000  0.0379  4 B 2.11-2.12
Cu  0.1115  0.0000  0.1181  7 Cu 2.46-2.67, 1 Ru 2.59
Ru  0.3872  0.5000  0.5379  4 B 2.11-2.12
Cu  0.9053  0.5000  0.2316  11 Cu 2.65-2.86, 2 Ru 2.76, 1 B 2.81
Cu  0.7060  0.0000  0.0322  4 B 2.29-2.35, 2 Cu 2.48
Cu  0.9053  0.0000  0.7316  11 Cu 2.65-2.86, 2 Ru 2.76, 1 B 2.81
Ru  0.6431  0.5000  0.7882  3 B 2.07-2.08
Ru  0.6431  0.0000  0.2882  3 B 2.07-2.08
B  0.5599  0.5000  0.1379  4 Ru 2.08-2.11, 1 B 2.09, 3 Cu 2.29-2.33
Cu  0.3585  0.0000  0.7664  3 B 2.24-2.33
Cu  0.1568  0.0000  0.3699  6 Cu 2.37-2.65
B  0.5599  0.0000  0.6379  4 Ru 2.08-2.11, 1 B 2.09, 3 Cu 2.29-2.33
Cu  0.3585  0.5000  0.2664  3 B 2.24-2.33
Cu  0.9161  0.0000  0.4601  5 Cu 2.37-2.48, 1 Ru 2.52


Record 10
First-principles (PBE-GGA) data for a relaxed structure of CuB2Ru, as listed in Alexandria.

Calculated values
formation energy from the elements	481	meV per atom
M_tot	0.00	μB per formula unit
volume	37.80	Å³/f.u.
calculated total energy	-24.80	eV per cell
space group	Fm-3m (225)
ΔE to the lowest computed polymorph	0.00	eV/f.u.

Cell lengths 3.7671, 3.7671, 3.7671 Å; angles 60.00, 60.00, 60.00 degrees
With the nearest neighbours (Å) after each atom.
Element x y z (fractional)
Ru  0.5000  0.5000  0.5000  8 B 2.31
B  0.2500  0.2500  0.2500  4 Ru 2.31, 4 Cu 2.31
B  0.7500  0.7500  0.7500  4 Ru 2.31, 4 Cu 2.31
Cu  0.0000  0.0000  0.0000  8 B 2.31